Model 1:
Density functional theory data (PBE) for a relaxed structure of LaV2FeSe.

Symmetry: No. 123
Total magnetic moment in μB/atom: 0.2211

POSCAR file:
```
LaV2FeSe
1.0
-2.8460 -1.6337 -3.1959
-0.4928 -4.7230 2.8532
-3.5661 1.7501 2.2810
Se La V Fe
1 1 2 1
Direct
0.0000 0.5000 0.0000
0.0000 0.0000 0.0000
0.5000 0.0000 0.0000
0.0000 0.0000 0.5000
0.5000 0.5000 0.5000
```

---

Model 2:
Density functional theory data (PBE) for a relaxed structure of LaV2FeSe.

Symmetry: No. 123
Total magnetic moment in μB/atom: 0.9173

POSCAR file:
```
LaV2FeSe
1.0
4.7108 0.0000 0.0000
0.0000 4.4546 0.0000
0.0000 0.0000 4.7108
La Fe V Se
1 1 2 1
Direct
0.5000 0.5000 0.5000
0.0000 0.5000 0.0000
0.0000 0.0000 0.5000
0.5000 0.0000 0.0000
0.0000 0.0000 0.0000
```

---

The structure with the least stability is model 1.

---

Model 1:
Density functional theory data (PBE) for a relaxed structure of LaFe3Si.

Symmetry: No. 221
Total magnetic moment in μB/atom: 1.1128

POSCAR file:
```
LaFe3Si
1.0
-3.5285 -2.7037 -0.2925
2.3448 -2.7820 -2.5706
1.3774 -2.1900 3.6266
Fe Si La
3 1 1
Direct
0.0000 0.5000 0.0000
0.0000 0.0000 0.5000
0.5000 0.0000 0.0000
0.0000 0.0000 0.0000
0.5000 0.5000 0.5000
```

---

Model 2:
Density functional theory data (PBE) for a relaxed structure of LaFe3Si.

Symmetry: No. 221
Total magnetic moment in μB/atom: 1.1997

POSCAR file:
```
LaFe3Si
1.0
4.6246 0.0000 0.0000
0.0000 4.6246 0.0000
0.0000 0.0000 4.6246
La Fe Si
1 3 1
Direct
0.0000 0.0000 0.0000
0.0000 0.5000 0.0000
0.5000 0.0000 0.0000
0.0000 0.0000 0.5000
0.5000 0.5000 0.5000
```

---

The structure with the least stability is model 2.

---

Model 1:
Density functional theory data (PBE) for a relaxed structure of LaSmFe.

Symmetry: No. 107
Total magnetic moment in μB/atom: 0.3150

POSCAR file:
```
LaSmFe
1.0
3.4855 0.0000 0.0000
0.0000 3.4855 0.0000
-1.7427 -1.7427 6.6860
La Fe Sm
1 1 1
Direct
0.2927 0.2927 0.5854
0.6642 0.6642 0.3284
0.0431 0.0431 0.0862
```

---

Model 2:
Density functional theory data (PBE) for a relaxed structure of LaSmFe.

Symmetry: No. 64
Total magnetic moment in μB/atom: 0.0001

POSCAR file:
```
LaSmFe
1.0
6.8954 0.0000 0.0000
-3.4477 6.5493 0.0000
0.0000 0.0000 6.9565
Sm La Fe
4 4 4
Direct
0.7813 0.0625 0.2500
0.7187 0.9375 0.7500
0.2813 0.0625 0.2500
0.2187 0.9375 0.7500
0.6991 0.3983 0.8582
0.3009 0.6017 0.1418
0.1991 0.3983 0.6418
0.8009 0.6017 0.3582
0.8841 0.7683 0.0575
0.3841 0.7683 0.4425
0.1159 0.2317 0.9425
0.6159 0.2317 0.5575
```

---

The structure with the least stability is model 1.

---

Model 1:
Density functional theory data (PBE) for a relaxed structure of LaFe3Sn.

Symmetry: No. 221
Total magnetic moment in μB/atom: 1.4007

POSCAR file:
```
LaFe3Sn
1.0
4.8522 0.0000 0.0000
0.0000 4.8522 0.0000
0.0000 0.0000 4.8522
Sn La Fe
1 1 3
Direct
0.0000 0.0000 0.0000
0.5000 0.5000 0.5000
0.5000 0.0000 0.0000
0.0000 0.5000 0.0000
0.0000 0.0000 0.5000
```

---

Model 2:
Density functional theory data (PBE) for a relaxed structure of LaFe3Sn.

Symmetry: No. 221
Total magnetic moment in μB/atom: 1.2080

POSCAR file:
```
LaFe3Sn
1.0
-4.3979 -0.2582 -1.6677
-1.3881 -2.0940 3.9847
-0.9598 4.2116 1.8789
La Fe Sn
1 3 1
Direct
0.0000 0.0000 0.0000
0.0000 0.0000 0.5000
0.0000 0.5000 0.0000
0.5000 0.0000 0.0000
0.5000 0.5000 0.5000
```

---

The structure with the least stability is model 2.

---

Model 1:
Density functional theory data (PBE) for a relaxed structure of SrLa2Fe.

Symmetry: No. 65
Total magnetic moment in μB/atom: 0.2722

POSCAR file:
```
SrLa2Fe
1.0
-0.3719 -2.6825 -2.4559
2.1184 -1.6411 2.4868
-8.3142 -3.3235 4.8891
La Sr Fe
2 1 1
Direct
0.0000 0.0000 0.5885
0.0000 0.0000 0.9115
0.5000 0.5000 0.2500
0.5000 0.5000 0.7500
```

---

Model 2:
Density functional theory data (PBE) for a relaxed structure of SrLa2Fe.

Symmetry: No. 119
Total magnetic moment in μB/atom: 0.4638

POSCAR file:
```
SrLa2Fe
1.0
6.3653 -0.1035 0.0000
2.8107 5.7121 0.0000
-4.5880 -2.8043 3.4079
La Fe Sr
2 1 1
Direct
0.0000 0.0000 0.0000
0.2500 0.7500 0.5000
0.7500 0.2500 0.5000
0.5000 0.5000 0.0000
```

---

The structure with the least stability is model 2.

---

Model 1:
Density functional theory data (PBE) for a relaxed structure of Sr2LaFe.

Symmetry: No. 139
Total magnetic moment in μB/atom: 0.4315

POSCAR file:
```
Sr2LaFe
1.0
-5.2399 -2.3155 3.5528
1.1962 -3.2321 5.7934
1.8552 5.7580 -2.9738
La Fe Sr
1 1 2
Direct
0.7500 0.2500 0.5000
0.2500 0.7500 0.5000
0.5000 0.5000 0.0000
0.0000 0.0000 0.0000
```

---

Model 2:
Density functional theory data (PBE) for a relaxed structure of Sr2LaFe.

Symmetry: No. 65
Total magnetic moment in μB/atom: 0.6631

POSCAR file:
```
Sr2LaFe
1.0
6.3094 0.2548 0.0000
-2.4360 5.8258 0.0000
0.0000 0.0000 3.7919
Sr Fe La
2 1 1
Direct
0.5000 0.5000 0.0000
0.0000 0.0000 0.0000
0.5000 0.0000 0.5000
0.0000 0.5000 0.5000
```

---

The structure with the least stability is model 2.

---

Model 1:
Density functional theory data (PBE) for a relaxed structure of Sr2LaFe.

Symmetry: No. 225
Total magnetic moment in μB/atom: 0.0000

POSCAR file:
```
Sr2LaFe
1.0
0.0989 -1.1121 5.4774
-4.6271 -1.7963 2.5713
-0.3323 -5.2869 1.7850
La Fe Sr
1 1 2
Direct
0.5000 0.5000 0.5000
0.0000 0.0000 0.0000
0.2500 0.2500 0.2500
0.7500 0.7500 0.7500
```

---

Model 2:
Density functional theory data (PBE) for a relaxed structure of Sr2LaFe.

Symmetry: No. 123
Total magnetic moment in μB/atom: 0.5993

POSCAR file:
```
Sr2LaFe
1.0
-0.2230 -0.1233 3.7050
-3.5556 -1.0433 -0.2468
2.8938 -9.8259 -0.1529
Fe La Sr
1 1 2
Direct
0.5000 0.5000 0.2500
0.5000 0.5000 0.7500
0.0000 0.0000 0.0600
0.0000 0.0000 0.4400
```

---

The structure with the least stability is model 1.

---

Model 1:
Density functional theory data (PBE) for a relaxed structure of Sr2LaFe.

Symmetry: No. 12
Total magnetic moment in μB/atom: 0.6301

POSCAR file:
```
Sr2LaFe
1.0
6.3341 -0.1364 -0.4372
-2.8291 6.3663 0.1789
0.6759 1.0947 3.5089
Fe Sr La
1 2 1
Direct
0.0000 0.5000 0.5000
0.5000 0.0000 0.5000
0.0000 0.0000 0.0000
0.5000 0.5000 0.0000
```

---

Model 2:
Density functional theory data (PBE) for a relaxed structure of Sr2LaFe.

Symmetry: No. 65
Total magnetic moment in μB/atom: 0.1609

POSCAR file:
```
Sr2LaFe
1.0
4.0126 0.0000 0.0000
0.0000 8.4037 0.5885
0.0000 6.5768 5.2646
Fe La Sr
1 1 2
Direct
0.5000 0.2500 0.2500
0.5000 0.7500 0.7500
0.0000 0.3966 0.3966
0.0000 0.1034 0.1034
```

---

The structure with the least stability is model 1.